a.
This record from the Open Quantum Materials Database describes PrTmPO after structural relaxation. The functional is GGA-PBE.

Summary:
Its crystal system is trigonal.

Structure (POSCAR):
```
PrTmPO
1.0
1.997 1.153 12.999
-1.997 1.153 12.999
0.000 -2.306 12.999
O P Pr Tm
2 2 2 2
Cartesian
0.000 0.000 12.098
0.000 0.000 26.899
0.000 0.000 3.605
0.000 0.000 35.392
0.000 0.000 14.525
0.000 0.000 24.473
0.000 0.000 8.039
0.000 0.000 30.958
```

=====

b.
This record from the Open Quantum Materials Database describes PrTmPO after structural relaxation. The functional is GGA-PBE.

Summary:
Its crystal system is tetragonal.

Structure (POSCAR):
```
PrTmPO
1.0
4.306 0.000 0.000
0.000 4.306 0.000
0.000 0.000 8.816
O P Pr Tm
2 2 2 2
Cartesian
0.000 0.000 0.000
2.153 2.153 0.000
2.153 0.000 2.492
0.000 2.153 6.325
0.000 0.000 4.408
2.153 2.153 4.408
0.000 2.153 0.791
2.153 0.000 8.025
```

=====

Q: Which of them is the most stable? A: a.

=====

a.
This record from the Open Quantum Materials Database describes PrTmPO after structural relaxation. The functional is GGA-PBE.

Summary:
Its crystal system is orthorhombic.

Structure (POSCAR):
```
PrTmPO
1.0
-3.275 2.494 -0.685
-4.296 -6.141 -1.814
-1.478 -0.507 5.217
O P Pr Tm
2 2 2 2
Cartesian
-4.156 -5.241 0.789
-2.167 -1.595 4.550
-3.831 -1.185 1.291
-5.775 -3.161 3.390
-1.231 -1.050 2.061
-5.110 -5.793 3.343
-5.316 -3.307 0.664
-4.290 -1.039 4.018
```

=====

b.
This record from the Open Quantum Materials Database describes PrTmPO after structural relaxation. The functional is GGA-PBE.

Summary:
Its crystal system is tetragonal.

Structure (POSCAR):
```
PrTmPO
1.0
4.372 0.000 0.000
0.000 4.372 0.000
0.000 0.000 8.828
O P Pr Tm
2 2 2 2
Cartesian
0.000 0.000 0.000
2.186 2.186 0.000
2.186 0.000 2.806
0.000 2.186 6.022
0.000 2.186 1.027
2.186 0.000 7.801
0.000 0.000 4.414
2.186 2.186 4.414
```

=====

Q: Which of them is the most stable? A: a.

=====

a.
This record from the Open Quantum Materials Database describes PrYPO after structural relaxation. The functional is GGA-PBE.

Summary:
Its crystal system is tetragonal.

Structure (POSCAR):
```
PrYPO
1.0
-0.756 4.141 -1.135
-2.243 -1.363 -3.481
-7.458 -0.040 4.821
O P Pr Y
2 2 2 2
Cartesian
0.000 0.000 0.000
-1.499 1.389 -2.308
-2.530 2.059 0.824
-6.427 -0.710 1.689
-3.729 -0.020 2.410
-5.228 1.369 0.103
-1.819 -0.685 -1.290
-7.138 2.034 3.802
```

=====

b.
This record from the Open Quantum Materials Database describes PrYPO after structural relaxation. The functional is GGA-PBE.

Summary:
Its crystal system is orthorhombic.

Structure (POSCAR):
```
PrYPO
1.0
4.240 0.000 0.000
0.000 7.734 0.000
0.000 0.000 5.528
O P Pr Y
2 2 2 2
Cartesian
0.000 2.486 2.344
0.000 5.248 5.108
2.120 6.614 2.419
2.120 1.121 5.183
0.000 4.904 2.502
0.000 2.831 5.266
2.120 1.581 2.430
2.120 6.154 5.194
```

=====

Q: Which of them is the most stable? A: b.

=====

a.
This record from the Open Quantum Materials Database describes RbPPtO after structural relaxation. The functional is GGA-PBE.

Summary:
Its crystal system is orthorhombic.

Structure (POSCAR):
```
RbPPtO
1.0
-2.983 -1.716 0.019
3.435 -6.013 -3.835
1.565 -2.661 5.574
O P Pt Rb
2 2 2 2
Cartesian
2.112 -3.676 -0.511
2.896 -5.009 2.274
-1.008 -1.704 -0.528
2.244 -7.357 -0.497
1.109 -1.941 -1.234
3.110 -5.405 0.192
0.942 -5.119 -2.702
0.295 -3.945 1.682
```

=====

b.
This record from the Open Quantum Materials Database describes RbPPtO after structural relaxation. The functional is GGA-PBE.

Summary:
Its crystal system is tetragonal.

Structure (POSCAR):
```
RbPPtO
1.0
3.207 -3.207 0.000
3.207 3.207 0.000
0.000 0.000 8.044
O P Pt Rb
2 2 2 2
Cartesian
3.207 -1.603 0.000
3.207 1.603 0.000
4.810 0.000 1.748
1.603 0.000 6.296
1.603 0.000 0.458
4.810 0.000 7.586
3.207 -1.603 4.022
3.207 1.603 4.022
```

=====

c.
This record from the Open Quantum Materials Database describes RbPPtO after structural relaxation. The functional is GGA-PBE.

Summary:
Its crystal system is tetragonal.

Structure (POSCAR):
```
RbPPtO
1.0
-2.007 -2.347 -2.846
1.889 -3.437 1.502
-8.162 -1.448 6.951
O P Pt Rb
2 2 2 2
Cartesian
-1.033 -2.619 -1.759
0.915 -3.164 0.415
-3.303 -4.908 1.730
-4.977 -2.324 3.878
-5.114 -3.343 1.717
-3.166 -3.888 3.891
-1.329 -1.676 0.770
-6.951 -5.555 4.837
```

=====

Q: Which of them is the most stable? A: a.